Below is crystalline K2MnRhO4 at its relaxed geometry, with properties calculated at the PBE with a Hubbard U level.

Values from the calculation:
Total DFT energy (no corrections): -5.739 eV/atom
Calculated volume: 12.7 Å³/atom

Cell: 5.496 3.158 6.141 Å, 90.00 107.39 90.00°
Element x y z (fractional)
K 0.000 0.000 0.000
K 0.500 0.500 0.000
Mn 0.000 0.500 0.500
Rh 0.500 0.000 0.500
O 0.214 0.000 0.669
O 0.269 0.500 0.329
O 0.731 0.500 0.671
O 0.786 0.000 0.331